The following is a DFT calculation (GGA+U) of a relaxed Co2CuSbO6 crystal.

a b c (Å): 5.056 5.229 5.762
angles (deg): 58.18 62.69 59.33
Site moments in Bohr magnetons follow the coordinates.
Fractional coordinates of all 10 atoms:
1 O 0.214 0.918 0.247  0.09
2 O 0.940 0.604 0.222  0.05
3 O 0.380 0.759 0.775  0.11
4 O 0.106 0.399 0.762  0.11
5 O 0.625 0.195 0.242  0.11
6 O 0.721 0.139 0.771  0.05
7 Sb 0.320 0.328 0.029  0.01
8 Co 0.547 0.500 0.411  2.70
9 Co 0.009 0.010 0.981  0.12
10 Cu 0.799 0.809 0.574  0.60

Properties
For the calculated density, the calculation gives 6.16 g/cm3. The total energy is -5.822 eV/atom. Its volume is 10.75 Å³ per atom. Its space group is P1.

The following is a DFT calculation (GGA+U) of a relaxed RbAgMoF6 crystal.

a b c (Å): 5.550 5.550 11.339
angles (deg): 90.00 90.00 90.00
Site moments in Bohr magnetons follow the coordinates.
Fractional coordinates of all 18 atoms:
1 F 0.747 0.747 0.322  0.01
2 F 0.663 0.663 0.971  0.01
3 F 0.183 0.817 0.207  0.02
4 F 0.817 0.183 0.207  0.02
5 F 0.683 0.683 0.707  0.02
6 F 0.337 0.337 0.971  0.01
7 F 0.837 0.163 0.471  0.01
8 F 0.317 0.317 0.707  0.02
9 F 0.253 0.253 0.322  0.01
10 F 0.247 0.753 0.822  0.01
11 F 0.753 0.247 0.822  0.01
12 F 0.163 0.837 0.471  0.01
13 Rb 0.500 0.500 0.497  0.00
14 Rb 0.000 0.000 0.997  0.00
15 Mo 0.500 0.500 0.834  1.88
16 Mo 0.000 0.000 0.334  1.88
17 Ag 0.000 0.000 0.670  -0.01
18 Ag 0.500 0.500 0.170  -0.01

Properties
For the calculated density, the calculation gives 3.83 g/cm3. The total energy is -4.761 eV/atom. Its volume is 19.41 Å³ per atom. Its space group is P4_2nm.